(1)
DFT (PBEsol) results for a relaxed ScIr3 crystal.

Values from the calculation:
ΔH_f (0 K)	-2.1	eV/f.u.
space group	No. 44

Cell and atoms, written as POSCAR:
```
ScIr3
1.0
2.794 0.000 0.000
0.000 4.797 0.000
-1.397 -2.399 4.414
Ir Sc
3 1
Direct
0.755 0.760 0.509
0.500 0.825 0.000
0.245 0.251 0.491
0.000 0.331 0.000
```

---

(2)
DFT (PBEsol) results for a relaxed NbRhIN2 crystal.

Values from the calculation:
E	-6.116	eV/atom
space group	No. 123

Cell and atoms, written as POSCAR:
```
NbRhIN2
1.0
-1.867 2.114 -2.696
-2.340 -3.029 -0.754
-3.441 1.727 3.738
N Nb I Rh
2 1 1 1
Direct
0.500 0.000 0.000
0.000 0.500 0.000
0.500 0.500 0.500
0.000 0.000 0.500
0.000 0.000 0.000
```

---

(3)
DFT (PBEsol) results for a relaxed Y2MgW crystal.

Values from the calculation:
ΔH_f (0 K)	1.8	eV/f.u.
space group	No. 123

Cell and atoms, written as POSCAR:
```
Y2MgW
1.0
3.214 0.000 0.000
0.000 5.342 0.000
0.000 0.000 5.342
W Y Mg
1 2 1
Direct
0.500 0.000 0.000
0.000 0.500 0.000
0.000 0.000 0.500
0.500 0.500 0.500
```

---

(4)
DFT (PBEsol) results for a relaxed Li2YTaPt crystal.

Values from the calculation:
ΔH_f (0 K)	6.4	eV/f.u.
space group	No. 123

Cell and atoms, written as POSCAR:
```
Li2YTaPt
1.0
-0.807 2.390 3.589
0.403 -3.594 2.483
4.775 0.875 0.491
Pt Y Ta Li
1 1 1 2
Direct
0.000 0.000 0.500
0.000 0.000 0.000
0.500 0.500 0.500
0.000 0.500 0.000
0.500 0.000 0.000
```

---

(5)
DFT (PBEsol) results for a relaxed MnBeCr2 crystal.

Values from the calculation:
ΔH_f (0 K)	0.2	eV/f.u.
space group	No. 99

Cell and atoms, written as POSCAR:
```
MnBeCr2
1.0
-0.785 1.487 2.239
0.603 -2.176 1.656
4.984 1.801 0.552
Be Cr Mn
1 2 1
Direct
0.500 0.500 0.746
0.000 0.000 0.996
0.500 0.500 0.250
0.000 0.000 0.509
```

---

(6)
DFT (PBEsol) results for a relaxed K7Hg crystal.

Values from the calculation:
ΔH_f (0 K)	0.2	eV/f.u.
space group	No. 225

Cell and atoms, written as POSCAR:
```
K7Hg
1.0
-5.012 5.225 4.913
-6.936 3.995 -3.534
-8.087 -2.507 2.208
K Hg
7 1
Direct
0.500 0.500 0.500
0.000 0.000 0.500
0.500 0.000 0.000
0.500 0.500 0.000
0.000 0.500 0.500
0.000 0.500 0.000
0.500 0.000 0.500
0.000 0.000 0.000
```

---

(7)
DFT (PBEsol) results for a relaxed KMg3N crystal.

Values from the calculation:
E	-1.066	eV/atom
space group	No. 221

Cell and atoms, written as POSCAR:
```
KMg3N
1.0
-3.610 -5.708 -0.120
5.617 -3.525 -1.288
1.026 -0.788 6.630
K Mg N
1 3 1
Direct
0.000 0.000 0.000
0.500 0.000 0.000
0.000 0.000 0.500
0.000 0.500 0.000
0.500 0.500 0.500
```

---

(8)
DFT (PBEsol) results for a relaxed Na2YTcPb crystal.

Values from the calculation:
ΔH_f (0 K)	5.0	eV/f.u.
space group	No. 123

Cell and atoms, written as POSCAR:
```
Na2YTcPb
1.0
5.229 0.000 0.000
0.000 5.196 0.000
0.000 0.000 5.196
Na Tc Y Pb
2 1 1 1
Direct
0.000 0.000 0.500
0.000 0.500 0.000
0.500 0.000 0.000
0.500 0.500 0.500
0.000 0.000 0.000
```

---

(9)
DFT (PBEsol) results for a relaxed Cr2NiOs crystal.

Values from the calculation:
ΔH_f (0 K)	0.3	eV/f.u.
space group	No. 119

Cell and atoms, written as POSCAR:
```
Cr2NiOs
1.0
3.639 0.000 0.000
0.000 3.639 0.000
-1.819 -1.819 3.543
Ni Cr Os
1 2 1
Direct
0.500 0.500 0.000
0.750 0.250 0.500
0.000 0.000 0.000
0.250 0.750 0.500
```

---

(10)
DFT (PBEsol) results for a relaxed TaAlOs2 crystal.

Values from the calculation:
ΔH_f (0 K)	-0.6	eV/f.u.
space group	No. 99

Cell and atoms, written as POSCAR:
```
TaAlOs2
1.0
-1.594 -0.561 2.216
2.179 -1.188 1.266
1.916 6.822 3.104
Al Ta Os
1 1 2
Direct
0.500 0.500 0.768
0.000 0.000 0.504
0.000 0.000 0.004
0.500 0.500 0.224
```

---

(11)
DFT (PBEsol) results for a relaxed ZnSbSe crystal.

Values from the calculation:
E	-3.405	eV/atom
space group	No. 156

Cell and atoms, written as POSCAR:
```
ZnSbSe
1.0
-3.622 1.001 0.399
0.983 -3.645 0.177
0.689 0.436 5.160
Zn Se Sb
1 1 1
Direct
0.667 0.333 0.362
0.333 0.667 0.618
0.000 0.000 0.020
```

---

(12)
DFT (PBEsol) results for a relaxed TiNiIr2O crystal.

Values from the calculation:
E	-5.981	eV/atom
space group	No. 123

Cell and atoms, written as POSCAR:
```
TiNiIr2O
1.0
4.292 0.000 0.000
0.000 4.509 0.000
0.000 0.000 4.509
Ni Ir O Ti
1 2 1 1
Direct
0.500 0.000 0.000
0.000 0.500 0.000
0.000 0.000 0.500
0.500 0.500 0.500
0.000 0.000 0.000
```